# 1
Below is crystalline Tm2GaFe2Co5 at its relaxed geometry, with properties calculated at the PBE level.

Calculated values
V in Å³/f.u.: 143.7
VASP energy in eV per atom: -6.532

Cell lengths 8.9380, 8.9380, 3.5966 Å; angles 90.00, 90.00, 90.00 degrees
Space group P4/mbm (No. 127)
Asymmetric unit:
Tm 0.1818 0.3182 0.0000 [4 per cell]
Ga 0.0000 0.0000 0.0000 [2 per cell]
Fe 0.1155 0.6155 0.0000 [4 per cell]
Co 0.0000 0.5000 0.5000 [2 per cell]
Co 0.0586 0.7929 0.5000 [8 per cell]

***

# 2
Below is crystalline UGaFeCo at its relaxed geometry, with properties calculated at the PBE level.

Calculated values
V in Å³/f.u.: 59.5
VASP energy in eV per atom: -7.579

Cell lengths 6.1981, 6.1981, 6.1981 Å; angles 90.00, 90.00, 90.00 degrees
Space group F-43m (No. 216)
Asymmetric unit:
U 0.0000 0.0000 0.0000 [4 per cell]
Ga 0.0000 0.0000 0.5000 [4 per cell]
Fe 0.2500 0.2500 0.7500 [4 per cell]
Co 0.2500 0.2500 0.2500 [4 per cell]

***

# 3
Below is crystalline Y2Ga2FeCo5 at its relaxed geometry, with properties calculated at the PBE level.

Calculated values
V in Å³/f.u.: 149.5
VASP energy in eV per atom: -6.416

Cell lengths 9.5863, 9.5863, 3.2535 Å; angles 90.00, 90.00, 90.00 degrees
Space group P4/mbm (No. 127)
Asymmetric unit:
Y 0.1722 0.3278 0.0000 [4 per cell]
Ga 0.1268 0.6268 0.0000 [4 per cell]
Fe 0.0000 0.0000 0.0000 [2 per cell]
Co 0.0000 0.5000 0.5000 [2 per cell]
Co 0.0581 0.8076 0.5000 [8 per cell]

***

# 4
Below is crystalline Y2GaFe2Co5 at its relaxed geometry, with properties calculated at the PBE level.

Calculated values
V in Å³/f.u.: 148.2
VASP energy in eV per atom: -6.876

Cell lengths 9.2115, 9.2115, 3.4926 Å; angles 90.00, 90.00, 90.00 degrees
Space group P4/mbm (No. 127)
Asymmetric unit:
Y 0.1807 0.3193 0.0000 [4 per cell]
Ga 0.0000 0.0000 0.0000 [2 per cell]
Fe 0.1174 0.6174 0.0000 [4 per cell]
Co 0.0000 0.5000 0.5000 [2 per cell]
Co 0.0583 0.7916 0.5000 [8 per cell]

***

# 5
Below is crystalline Zn2GaFe2Co5 at its relaxed geometry, with properties calculated at the PBE level.

Calculated values
V in Å³/f.u.: 126.6
VASP energy in eV per atom: -5.663

Cell lengths 8.2136, 8.2136, 3.7528 Å; angles 90.00, 90.00, 90.00 degrees
Space group P4/mbm (No. 127)
Asymmetric unit:
Zn 0.1755 0.3245 0.0000 [4 per cell]
Ga 0.0000 0.0000 0.0000 [2 per cell]
Fe 0.1201 0.6201 0.0000 [4 per cell]
Co 0.0000 0.5000 0.5000 [2 per cell]
Co 0.0724 0.8028 0.5000 [8 per cell]

***

# 6
Below is crystalline Zr2GaFe2Co5 at its relaxed geometry, with properties calculated at the PBE level.

Calculated values
V in Å³/f.u.: 135.9
VASP energy in eV per atom: -7.392

Cell lengths 8.6587, 8.6587, 3.6258 Å; angles 90.00, 90.00, 90.00 degrees
Space group P4/mbm (No. 127)
Asymmetric unit:
Zr 0.1804 0.3196 0.0000 [4 per cell]
Ga 0.0000 0.0000 0.0000 [2 per cell]
Fe 0.1186 0.6186 0.0000 [4 per cell]
Co 0.0000 0.5000 0.5000 [2 per cell]
Co 0.0598 0.7918 0.5000 [8 per cell]

***

# 7
Below is crystalline ZrGa6Fe3Co3 at its relaxed geometry, with properties calculated at the PBE level.

Calculated values
V in Å³/f.u.: 177.1
VASP energy in eV per atom: -5.946

Cell lengths 4.9648, 6.4414, 6.4565 Å; angles 80.37, 67.89, 67.86 degrees
Space group P-1 (No. 2)
Asymmetric unit:
Zr 0.0000 0.0000 0.0000 [1 per cell]
Ga 0.0078 0.6669 0.3373 [2 per cell]
Ga 0.3234 0.1732 0.1783 [2 per cell]
Ga 0.3371 0.6608 0.6551 [2 per cell]
Fe 0.0000 0.5000 0.0000 [1 per cell]
Fe 0.5000 0.0000 0.5000 [1 per cell]
Fe 0.5000 0.5000 0.0000 [1 per cell]
Co 0.0000 0.0000 0.5000 [1 per cell]
Co 0.4852 0.2461 0.7597 [2 per cell]

***

# 8
Below is crystalline Zr2Ga2FeCo5 at its relaxed geometry, with properties calculated at the PBE level.

Calculated values
V in Å³/f.u.: 139.9
VASP energy in eV per atom: -6.877

Cell lengths 9.4185, 9.4185, 3.1536 Å; angles 90.00, 90.00, 90.00 degrees
Space group P4/mbm (No. 127)
Asymmetric unit:
Zr 0.1711 0.3289 0.0000 [4 per cell]
Ga 0.1291 0.6291 0.0000 [4 per cell]
Fe 0.0000 0.0000 0.0000 [2 per cell]
Co 0.0000 0.5000 0.5000 [2 per cell]
Co 0.0512 0.8047 0.5000 [8 per cell]

***

# 9
Below is crystalline GdFeCo4 at its relaxed geometry, with properties calculated at the PBE level.

Calculated values
V in Å³/f.u.: 82.8
VASP energy in eV per atom: -8.493

Cell lengths 6.9193, 6.9193, 6.9193 Å; angles 90.00, 90.00, 90.00 degrees
Space group F-43m (No. 216)
Asymmetric unit:
Gd 0.0000 0.0000 0.0000 [4 per cell]
Fe 0.2500 0.2500 0.7500 [4 per cell]
Co 0.1239 0.1239 0.3761 [16 per cell]

***

# 10
Below is crystalline GdFe4Co at its relaxed geometry, with properties calculated at the PBE level.

Calculated values
V in Å³/f.u.: 86.0
VASP energy in eV per atom: -9.061

Cell lengths 7.0060, 7.0060, 7.0060 Å; angles 90.00, 90.00, 90.00 degrees
Space group F-43m (No. 216)
Asymmetric unit:
Gd 0.0000 0.0000 0.0000 [4 per cell]
Fe 0.1243 0.1243 0.6243 [16 per cell]
Co 0.2500 0.2500 0.2500 [4 per cell]

***

> Look up the V of the sixth one.

135.9 Å³/f.u.

***

> Among the records above, which one has the highest VASP energy?

Zn2GaFe2Co5

***

Please write out number 9 again, unchanged.
Below is crystalline GdFeCo4 at its relaxed geometry, with properties calculated at the PBE level.

Calculated values
V in Å³/f.u.: 82.8
VASP energy in eV per atom: -8.493

Cell lengths 6.9193, 6.9193, 6.9193 Å; angles 90.00, 90.00, 90.00 degrees
Space group F-43m (No. 216)
Asymmetric unit:
Gd 0.0000 0.0000 0.0000 [4 per cell]
Fe 0.2500 0.2500 0.7500 [4 per cell]
Co 0.1239 0.1239 0.3761 [16 per cell]